(1)
The following is a DFT calculation (PBE) of a relaxed Ca2Cd2As3 crystal.

- Calculated total energy: -49.654 eV per cell

Cell and atoms, written as CIF:
```
data_Ca2Cd2As3
_cell_length_a 4.410
_cell_length_b 8.320
_cell_length_c 10.051
_cell_angle_alpha 81.66
_cell_angle_beta 77.33
_cell_angle_gamma 74.63
_space_group_name_H-M_alt 'P 1'
_space_group_IT_number 1
loop_
_space_group_symop_operation_xyz
'x,y,z'
loop_
_atom_site_label
_atom_site_type_symbol
_atom_site_fract_x
_atom_site_fract_y
_atom_site_fract_z
As1 As 0.838 0.500 0.823
As2 As 0.162 0.500 0.177
As3 As 0.635 0.207 0.522
As4 As 0.365 0.793 0.478
As5 As 0.087 0.941 0.884
As6 As 0.913 0.059 0.116
Ca1 Ca 0.732 0.861 0.674
Ca2 Ca 0.610 0.737 0.043
Ca3 Ca 0.268 0.139 0.326
Ca4 Ca 0.390 0.263 0.957
Cd1 Cd 0.949 0.789 0.313
Cd2 Cd 0.051 0.211 0.687
Cd3 Cd 0.589 0.482 0.341
Cd4 Cd 0.411 0.518 0.659
```



(2)
The following is a DFT calculation (PBE) of a relaxed CaCd2As crystal.

- Calculated total energy: -9.965 eV per cell

Cell and atoms, written as CIF:
```
data_CaCd2As
_cell_length_a 4.382
_cell_length_b 4.382
_cell_length_c 6.868
_cell_angle_alpha 71.77
_cell_angle_beta 71.77
_cell_angle_gamma 59.63
_space_group_name_H-M_alt 'P 1'
_space_group_IT_number 1
loop_
_space_group_symop_operation_xyz
'x,y,z'
loop_
_atom_site_label
_atom_site_type_symbol
_atom_site_fract_x
_atom_site_fract_y
_atom_site_fract_z
As1 As 0.490 0.490 0.532
Cd1 Cd 0.011 0.011 0.963
Cd2 Cd 0.763 0.763 0.714
Ca1 Ca 0.236 0.236 0.291
```



(3)
The following is a DFT calculation (PBE) of a relaxed CaCd4As crystal.

- Calculated total energy: -10.653 eV per cell

Cell and atoms, written as CIF:
```
data_CaCd4As
_cell_length_a 5.914
_cell_length_b 5.914
_cell_length_c 5.914
_cell_angle_alpha 60.00
_cell_angle_beta 60.00
_cell_angle_gamma 60.00
_space_group_name_H-M_alt 'P 1'
_space_group_IT_number 1
loop_
_space_group_symop_operation_xyz
'x,y,z'
loop_
_atom_site_label
_atom_site_type_symbol
_atom_site_fract_x
_atom_site_fract_y
_atom_site_fract_z
Cd1 Cd 0.375 0.375 0.375
Cd2 Cd 0.874 0.375 0.375
Cd3 Cd 0.375 0.375 0.874
Cd4 Cd 0.375 0.874 0.375
Ca1 Ca 0.000 0.000 0.000
As1 As 0.750 0.750 0.750
```



(4)
The following is a DFT calculation (PBE) of a relaxed CaCdAs2 crystal.

- Calculated total energy: -13.661 eV per cell

Cell and atoms, written as CIF:
```
data_CaCdAs2
_cell_length_a 4.650
_cell_length_b 4.650
_cell_length_c 5.757
_cell_angle_alpha 72.97
_cell_angle_beta 72.97
_cell_angle_gamma 53.78
_space_group_name_H-M_alt 'P 1'
_space_group_IT_number 1
loop_
_space_group_symop_operation_xyz
'x,y,z'
loop_
_atom_site_label
_atom_site_type_symbol
_atom_site_fract_x
_atom_site_fract_y
_atom_site_fract_z
As1 As 0.504 0.504 0.484
As2 As 0.996 0.996 0.016
Ca1 Ca 0.750 0.750 0.750
Cd1 Cd 0.250 0.250 0.250
```



(5)
The following is a DFT calculation (PBE) of a relaxed CaCdAs2 crystal.

- Calculated total energy: -13.943 eV per cell

Cell and atoms, written as CIF:
```
data_CaCdAs2
_cell_length_a 4.648
_cell_length_b 4.645
_cell_length_c 4.079
_cell_angle_alpha 90.00
_cell_angle_beta 90.00
_cell_angle_gamma 90.00
_space_group_name_H-M_alt 'P 1'
_space_group_IT_number 1
loop_
_space_group_symop_operation_xyz
'x,y,z'
loop_
_atom_site_label
_atom_site_type_symbol
_atom_site_fract_x
_atom_site_fract_y
_atom_site_fract_z
Ca1 Ca 0.500 0.000 0.500
As1 As 0.500 0.500 0.000
As2 As 0.000 0.000 0.000
Cd1 Cd 0.000 0.500 0.500
```



(6)
The following is a DFT calculation (PBE) of a relaxed CaCdAs3 crystal.

- Calculated total energy: -13.495 eV per cell

Cell and atoms, written as CIF:
```
data_CaCdAs3
_cell_length_a 5.347
_cell_length_b 5.347
_cell_length_c 5.347
_cell_angle_alpha 90.00
_cell_angle_beta 90.00
_cell_angle_gamma 90.00
_space_group_name_H-M_alt 'P 1'
_space_group_IT_number 1
loop_
_space_group_symop_operation_xyz
'x,y,z'
loop_
_atom_site_label
_atom_site_type_symbol
_atom_site_fract_x
_atom_site_fract_y
_atom_site_fract_z
As1 As 0.000 0.500 0.000
As2 As 0.500 0.000 0.000
As3 As 0.000 0.000 0.500
Ca1 Ca 0.000 0.000 0.000
Cd1 Cd 0.500 0.500 0.500
```



(7)
The following is a DFT calculation (PBE) of a relaxed Ca2CdAs crystal.

- Calculated total energy: -10.399 eV per cell

Cell and atoms, written as CIF:
```
data_Ca2CdAs
_cell_length_a 5.356
_cell_length_b 5.356
_cell_length_c 5.356
_cell_angle_alpha 60.00
_cell_angle_beta 60.00
_cell_angle_gamma 60.00
_space_group_name_H-M_alt 'P 1'
_space_group_IT_number 1
loop_
_space_group_symop_operation_xyz
'x,y,z'
loop_
_atom_site_label
_atom_site_type_symbol
_atom_site_fract_x
_atom_site_fract_y
_atom_site_fract_z
Ca1 Ca 0.250 0.250 0.250
Ca2 Ca 0.000 0.000 0.000
As1 As 0.500 0.500 0.500
Cd1 Cd 0.750 0.750 0.750
```



(8)
The following is a DFT calculation (PBE) of a relaxed CaCdAs crystal.

- Calculated total energy: -8.782 eV per cell

Cell and atoms, written as CIF:
```
data_CaCdAs
_cell_length_a 5.878
_cell_length_b 5.878
_cell_length_c 5.878
_cell_angle_alpha 144.97
_cell_angle_beta 140.73
_cell_angle_gamma 53.63
_space_group_name_H-M_alt 'P 1'
_space_group_IT_number 1
loop_
_space_group_symop_operation_xyz
'x,y,z'
loop_
_atom_site_label
_atom_site_type_symbol
_atom_site_fract_x
_atom_site_fract_y
_atom_site_fract_z
As1 As 0.009 0.009 0.000
Cd1 Cd 0.648 0.648 0.000
Ca1 Ca 0.343 0.343 0.000
```



Spin magnetization for every record listed, in sequence, given in μB per cell: 0.00; 0.00; 0.00; 0.00; 0.00; 0.00; 0.00; 0.00.
Density for every record listed, in sequence, given in kg/m³: 5093; 5317; 6409; 5292; 5701; 4098; 4088; 5149.